P | First-principles (PBE) data for a relaxed SiHg2O4 crystal, as listed in Alexandria via LeMat-Bulk.

Summary:
As for the space group: Fddd (70). The size of the total moment is 0.00 μB/atom.

Lattice parameters (Å, degrees): 8.0608 6.5914 6.5619 75.59 52.37 52.04
Closest atoms and distances in Å follow each position.
Fractional positions:
Si 0.1250 0.1250 0.1250  4 O 1.66
Si 0.8750 0.8750 0.8750  4 O 1.66
Hg 0.1888 0.1888 0.5612  2 O 2.07
Hg 0.4388 0.4388 0.8112  2 O 2.07
Hg 0.5612 0.5612 0.1888  2 O 2.07
Hg 0.8112 0.8112 0.4388  2 O 2.07
O 0.1536 0.2751 0.2574  1 Si 1.66
O 0.1861 0.7426 0.7249  1 Si 1.66
O 0.2574 0.8139 0.1536  1 Si 1.66
O 0.2751 0.1536 0.8139  1 Si 1.66
O 0.7249 0.8464 0.1861  1 Si 1.66
O 0.7426 0.1861 0.8464  1 Si 1.66
O 0.8139 0.2574 0.2751  1 Si 1.66
O 0.8464 0.7249 0.7426  1 Si 1.66

Q | First-principles (PBE) data for a relaxed SiHg2O4 crystal, as listed in Alexandria via LeMat-Bulk.

Summary:
As for the space group: P4_2/nbc (133). The size of the total moment is 0.00 μB/atom. As for the density of states at the Fermi level: 0.000 states/eV per atom.

Lattice parameters (Å, degrees): 8.7016 8.7016 9.7672 90.00 90.00 90.00
Closest atoms and distances in Å follow each position.
Fractional positions:
Si 0.2500 0.7500 0.2500  4 O 1.66
Si 0.2500 0.7500 0.7500  4 O 1.66
Si 0.7500 0.2500 0.2500  4 O 1.66
Si 0.7500 0.2500 0.7500  4 O 1.66
Hg 0.0015 0.0015 0.2500  2 O 2.01
Hg 0.0015 0.4985 0.7500  2 O 2.01
Hg 0.4985 0.0015 0.7500  2 O 2.01
Hg 0.4985 0.4985 0.2500  2 O 2.01
Hg 0.5015 0.5015 0.7500  2 O 2.01
Hg 0.5015 0.9985 0.2500  2 O 2.01
Hg 0.9985 0.5015 0.2500  2 O 2.01
Hg 0.9985 0.9985 0.7500  2 O 2.01
O 0.1403 0.6436 0.1482  1 Si 1.66
O 0.1403 0.8564 0.8518  1 Si 1.66
O 0.1436 0.6403 0.6482  1 Si 1.66
O 0.1436 0.8597 0.3518  1 Si 1.66
O 0.3564 0.6403 0.3518  1 Si 1.66
O 0.3564 0.8597 0.6482  1 Si 1.66
O 0.3597 0.6436 0.8518  1 Si 1.66
O 0.3597 0.8564 0.1482  1 Si 1.66
O 0.6403 0.1436 0.8518  1 Si 1.66
O 0.6403 0.3564 0.1482  1 Si 1.66
O 0.6436 0.1403 0.3518  1 Si 1.66
O 0.6436 0.3597 0.6482  1 Si 1.66
O 0.8564 0.1403 0.6482  1 Si 1.66
O 0.8564 0.3597 0.3518  1 Si 1.66
O 0.8597 0.1436 0.1482  1 Si 1.66
O 0.8597 0.3564 0.8518  1 Si 1.66

The most stable arrangement is P, and the next structure is 96 meV per atom less stable.

P | First-principles (PBE) data for a relaxed Si3HgO crystal, as listed in Alexandria via LeMat-Bulk.

Summary:
As for the space group: Pm-3m (221). The size of the total moment is 0.00 μB/atom. As for the density of states at the Fermi level: 0.293 states/eV per atom.

Lattice parameters (Å, degrees): 4.3261 4.3261 4.3261 90.00 90.00 90.00
Closest atoms and distances in Å follow each position.
Fractional positions:
Si 0.0000 0.0000 0.5000  2 O 2.16
Si 0.0000 0.5000 0.0000  2 O 2.16
Si 0.5000 0.0000 0.0000  2 O 2.16
Hg 0.5000 0.5000 0.5000  12 Si 3.06
O 0.0000 0.0000 0.0000  6 Si 2.16

Q | First-principles (PBE) data for a relaxed Si3HgO crystal, as listed in Alexandria via LeMat-Bulk.

Summary:
As for the space group: Pm-3m (221). The size of the total moment is 0.00 μB/atom. As for the density of states at the Fermi level: 0.660 states/eV per atom.

Lattice parameters (Å, degrees): 5.0228 5.0228 5.0228 90.00 90.00 90.00
Closest atoms and distances in Å follow each position.
Fractional positions:
Si 0.0000 0.0000 0.5000  2 Hg 2.51
Si 0.0000 0.5000 0.0000  2 Hg 2.51
Si 0.5000 0.0000 0.0000  2 Hg 2.51
Hg 0.0000 0.0000 0.0000  6 Si 2.51
O 0.5000 0.5000 0.5000  12 Si 3.55

The most stable arrangement is P, and the next structure is 1395 meV per atom less stable.

P | First-principles (PBE) data for a relaxed SiHg3O crystal, as listed in Alexandria via LeMat-Bulk.

Summary:
As for the space group: Pm-3m (221). The size of the total moment is 0.21 μB/atom. As for the density of states at the Fermi level: 1.679 states/eV per atom.

Lattice parameters (Å, degrees): 5.1184 5.1184 5.1184 90.00 90.00 90.00
Closest atoms and distances in Å follow each position.
Fractional positions:
Si 0.0000 0.0000 0.0000  6 Hg 2.56
Hg 0.0000 0.0000 0.5000  2 Si 2.56
Hg 0.0000 0.5000 0.0000  2 Si 2.56
Hg 0.5000 0.0000 0.0000  2 Si 2.56
O 0.5000 0.5000 0.5000  12 Hg 3.62

Q | First-principles (PBE) data for a relaxed SiHg3O crystal, as listed in Alexandria via LeMat-Bulk.

Summary:
As for the space group: Pm-3m (221). The size of the total moment is 0.00 μB/atom. As for the density of states at the Fermi level: 0.805 states/eV per atom.

Lattice parameters (Å, degrees): 4.7745 4.7745 4.7745 90.00 90.00 90.00
Closest atoms and distances in Å follow each position.
Fractional positions:
Si 0.0000 0.0000 0.0000  12 Hg 3.38
Hg 0.0000 0.5000 0.5000  2 O 2.39
Hg 0.5000 0.0000 0.5000  2 O 2.39
Hg 0.5000 0.5000 0.0000  2 O 2.39
O 0.5000 0.5000 0.5000  6 Hg 2.39

The most stable arrangement is P, and the next structure is 34 meV per atom less stable.